Entry 1:
Computed, not measured: crystalline Pm2HgS4 at its relaxed geometry at the GGA-PBE level of DFT.

Lattice parameters (Å, degrees): 4.3641 8.6355 10.9128 76.00 78.47 75.36
Fractional coordinates of all 14 atoms:
Pm1 0.6227 0.2125 0.5422
Pm2 0.1634 0.4702 0.2031
Pm3 0.8366 0.5298 0.7969
Pm4 0.3773 0.7875 0.4578
Hg1 0.8827 0.0709 0.1637
Hg2 0.1173 0.9291 0.8363
S1 0.2358 0.1473 0.3810
S2 0.7972 0.3471 0.0584
S3 0.0356 0.2022 0.7267
S4 0.5758 0.4966 0.3517
S5 0.4242 0.5034 0.6483
S6 0.9644 0.7978 0.2733
S7 0.2028 0.6529 0.9416
S8 0.7642 0.8527 0.6190

Values from the calculation:
symmetry: C2/m, No. 12
formation energy (no corrections): -1.496 eV/atom
crystal system: monoclinic
size of the total moment: 0.0 μB per formula unit
excess energy over the best structure of this formula in the dataset: 0.000 eV/atom
electronic total energy: -5.2547 eV/atom

Entry 2:
Computed, not measured: crystalline ErScMo2N6 at its relaxed geometry at the GGA-PBE level of DFT.

Lattice parameters (Å, degrees): 6.1893 7.3782 7.3782 79.83 71.12 71.12
Fractional coordinates of all 20 atoms:
Er1 0.2500 0.9074 0.0926
Er2 0.7500 0.0926 0.9074
Sc1 0.2500 0.2731 0.7269
Sc2 0.7500 0.7269 0.2731
Mo1 0.3110 0.7933 0.6209
Mo2 0.1890 0.3791 0.2067
Mo3 0.6890 0.2067 0.3791
Mo4 0.8110 0.6209 0.7933
N1 0.1677 0.9969 0.7817
N2 0.3323 0.2183 0.0031
N3 0.8323 0.0031 0.2183
N4 0.6677 0.7817 0.9969
N5 0.3424 0.8719 0.3736
N6 0.1576 0.6264 0.1281
N7 0.6576 0.1281 0.6264
N8 0.8424 0.3736 0.8719
N9 0.1360 0.6014 0.6862
N10 0.3640 0.3138 0.3986
N11 0.8640 0.3986 0.3138
N12 0.6360 0.6862 0.6014

Values from the calculation:
symmetry: C2/c, No. 15
formation energy (no corrections): -0.870 eV/atom
crystal system: monoclinic
size of the total moment: 0.0 μB per formula unit
electronic total energy: -9.1208 eV/atom

Entry 3:
Computed, not measured: crystalline Sm2ErTm3S6 at its relaxed geometry at the GGA-PBE level of DFT.

Lattice parameters (Å, degrees): 3.8801 7.8627 8.7335 103.61 102.83 90.00
Fractional coordinates of all 12 atoms:
Sm1 0.8322 0.6643 0.6644
Sm2 0.1678 0.3357 0.3356
Er1 0.5000 0.0000 0.0000
Tm1 0.5000 0.5000 0.0000
Tm2 0.8313 0.1668 0.6627
Tm3 0.1687 0.8332 0.3373
S1 0.3338 0.9276 0.6677
S2 0.6626 0.5925 0.3251
S3 0.6662 0.0724 0.3323
S4 0.9961 0.2493 0.9923
S5 0.0039 0.7507 0.0077
S6 0.3374 0.4075 0.6749

Values from the calculation:
symmetry: C2/m, No. 12
formation energy (no corrections): -1.967 eV/atom
crystal system: monoclinic
size of the total moment: 0.0 μB per formula unit
electronic total energy: -6.3152 eV/atom